Nd3Sm2Tm6Pu | PBE | relaxed

Summary:
Calculated density (g/cm³): 8.8
Calculated total energy (eV per atom): -5.37
Energy of formation from the pure elements (eV per atom): 0.043
Size of the total moment (μB/cell): 6.41

a = 6.166 Å, b = 6.166 Å, c = 11.641 Å
α = 95.07°, β = 95.07°, γ = 120.01°
Positions (direct):
Nd 0.000 0.000 0.000
Nd 0.333 0.667 0.000
Nd 0.667 0.333 0.000
Sm 0.167 0.833 0.500
Sm 0.833 0.167 0.500
Tm 0.089 0.418 0.254
Tm 0.253 0.253 0.746
Tm 0.418 0.089 0.254
Tm 0.582 0.911 0.746
Tm 0.747 0.747 0.254
Tm 0.911 0.582 0.746
Pu 0.500 0.500 0.500

Li10CaAc | PBE | relaxed

Summary:
Calculated density (g/cm³): 1.9
Calculated total energy (eV per atom): -2.05
Energy of formation from the pure elements (eV per atom): 0.054
Size of the total moment (μB/cell): 0.00

a = 4.561 Å, b = 6.149 Å, c = 10.522 Å
α = 90.00°, β = 90.00°, γ = 90.00°
Positions (direct):
Li 0.000 0.000 0.000
Li 0.000 0.248 0.256
Li 0.000 0.248 0.744
Li 0.000 0.500 0.500
Li 0.000 0.752 0.256
Li 0.000 0.752 0.744
Li 0.500 0.000 0.171
Li 0.500 0.000 0.829
Li 0.500 0.500 0.338
Li 0.500 0.500 0.662
Ca 0.500 0.000 0.500
Ac 0.500 0.500 0.000

Er3CoSe2 | PBE | relaxed

Summary:
Calculated density (g/cm³): 8.7
Calculated total energy (eV per atom): -5.77
Size of the total moment (μB/cell): 0.00

a = 3.839 Å, b = 5.696 Å, c = 12.548 Å
α = 90.00°, β = 90.00°, γ = 90.00°
Positions (direct):
Er 0.000 0.000 0.000
Er 0.000 0.000 0.356
Er 0.000 0.000 0.644
Er 0.500 0.500 0.144
Er 0.500 0.500 0.500
Er 0.500 0.500 0.856
Co 0.000 0.500 0.000
Co 0.500 0.000 0.500
Se 0.000 0.500 0.325
Se 0.000 0.500 0.675
Se 0.500 0.000 0.175
Se 0.500 0.000 0.825

La4TcI | PBE | relaxed

Summary:
Calculated density (g/cm³): 6.8
Calculated total energy (eV per atom): -5.43
Size of the total moment (μB/cell): 0.00

a = 5.645 Å, b = 4.809 Å, c = 14.039 Å
α = 90.00°, β = 94.13°, γ = 90.00°
Positions (direct):
La 0.022 0.000 0.171
La 0.046 0.500 0.378
La 0.454 0.000 0.622
La 0.478 0.500 0.829
La 0.522 0.500 0.171
La 0.546 0.000 0.378
La 0.954 0.500 0.622
La 0.978 0.000 0.829
Tc 0.000 0.000 0.500
Tc 0.500 0.500 0.500
I 0.000 0.500 0.000
I 0.500 0.000 0.000

TeWSe2 | PBE | relaxed

Summary:
Calculated density (g/cm³): 8.0
Calculated total energy (eV per atom): -5.90
Size of the total moment (μB/cell): 0.00

a = 5.669 Å, b = 3.270 Å, c = 10.623 Å
α = 90.00°, β = 100.15°, γ = 90.00°
Positions (direct):
Te 0.000 0.000 0.000
Te 0.500 0.500 0.000
W 0.000 0.500 0.500
W 0.500 0.000 0.500
Se 0.221 0.000 0.666
Se 0.279 0.500 0.334
Se 0.721 0.500 0.666
Se 0.779 0.000 0.334

PuSn2Ru | PBE | relaxed

Summary:
Calculated density (g/cm³): 10.3
Calculated total energy (eV per atom): -7.73
Energy of formation from the pure elements (eV per atom): 0.173
Size of the total moment (μB/cell): 17.93

a = 3.222 Å, b = 3.222 Å, c = 31.332 Å
α = 90.00°, β = 90.00°, γ = 120.00°
Positions (direct):
Pu 0.000 0.000 0.000
Pu 0.333 0.667 0.667
Pu 0.667 0.333 0.333
Sn 0.000 0.000 0.102
Sn 0.000 0.000 0.898
Sn 0.333 0.667 0.564
Sn 0.333 0.667 0.769
Sn 0.667 0.333 0.231
Sn 0.667 0.333 0.436
Ru 0.000 0.000 0.500
Ru 0.333 0.667 0.167
Ru 0.667 0.333 0.833

Rb2LaAsF6 | PBE | relaxed

Summary:
Calculated density (g/cm³): 3.4
Calculated total energy (eV per atom): -5.03
Size of the total moment (μB/cell): 0.00

a = 7.545 Å, b = 7.545 Å, c = 7.545 Å
α = 130.50°, β = 130.50°, γ = 72.61°
Positions (direct):
Rb 0.250 0.750 0.500
Rb 0.750 0.250 0.500
La 0.000 0.000 0.000
As 0.500 0.500 0.000
F 0.189 0.189 0.000
F 0.259 0.259 0.517
F 0.259 0.741 0.000
F 0.741 0.259 0.000
F 0.741 0.741 0.483
F 0.811 0.811 0.000

CsHoScSe3 | PBE | relaxed

Summary:
Calculated density (g/cm³): 4.7
Calculated total energy (eV per atom): -5.29
Size of the total moment (μB/cell): 0.01

a = 9.597 Å, b = 4.381 Å, c = 10.543 Å
α = 90.00°, β = 111.59°, γ = 90.00°
Positions (direct):
Cs 0.222 0.250 0.238
Cs 0.778 0.750 0.762
Ho 0.337 0.750 0.869
Ho 0.663 0.250 0.131
Sc 0.089 0.250 0.611
Sc 0.911 0.750 0.389
Se 0.129 0.250 0.866
Se 0.204 0.750 0.557
Se 0.478 0.750 0.153
Se 0.522 0.250 0.847
Se 0.796 0.250 0.443
Se 0.871 0.750 0.134

Pm2Zn15Ni2 | PBE | relaxed

Summary:
Calculated density (g/cm³): 7.6
Calculated total energy (eV per atom): -2.36
Energy of formation from the pure elements (eV per atom): -0.243
Size of the total moment (μB/cell): 0.00

a = 6.774 Å, b = 6.774 Å, c = 6.774 Å
α = 82.49°, β = 82.49°, γ = 82.49°
Positions (direct):
Pm 0.166 0.166 0.166
Pm 0.834 0.834 0.834
Zn 0.000 0.500 0.500
Zn 0.152 0.152 0.651
Zn 0.152 0.651 0.152
Zn 0.218 0.500 0.782
Zn 0.218 0.782 0.500
Zn 0.349 0.848 0.848
Zn 0.500 0.000 0.500
Zn 0.500 0.218 0.782
Zn 0.500 0.500 0.000
Zn 0.500 0.782 0.218
Zn 0.651 0.152 0.152
Zn 0.782 0.218 0.500
Zn 0.782 0.500 0.218
Zn 0.848 0.349 0.848
Zn 0.848 0.848 0.349
Ni 0.399 0.399 0.399
Ni 0.601 0.601 0.601

InIr2Rh | PBE | relaxed

Summary:
Calculated density (g/cm³): 15.9
Calculated total energy (eV per atom): -6.95
Energy of formation from the pure elements (eV per atom): 0.000
Size of the total moment (μB/cell): 0.00

a = 2.846 Å, b = 2.846 Å, c = 7.783 Å
α = 90.00°, β = 90.00°, γ = 90.00°
Positions (direct):
In 0.000 0.000 0.000
Ir 0.000 0.000 0.503
Ir 0.500 0.500 0.271
Rh 0.500 0.500 0.740

K2DyCuBr6 | PBE | relaxed

Summary:
Calculated density (g/cm³): 3.8
Calculated total energy (eV per atom): -3.57
Size of the total moment (μB/cell): 0.17

a = 7.968 Å, b = 8.711 Å, c = 12.601 Å
α = 90.00°, β = 129.02°, γ = 90.00°
Positions (direct):
K 0.223 0.091 0.247
K 0.223 0.409 0.747
K 0.777 0.591 0.253
K 0.777 0.909 0.753
Dy 0.000 0.000 0.500
Dy 0.000 0.500 0.000
Cu 0.500 0.000 0.000
Cu 0.500 0.500 0.500
Br 0.115 0.223 0.950
Br 0.115 0.277 0.450
Br 0.242 0.663 0.949
Br 0.242 0.837 0.449
Br 0.384 0.031 0.781
Br 0.384 0.469 0.281
Br 0.616 0.531 0.719
Br 0.616 0.969 0.219
Br 0.758 0.163 0.551
Br 0.758 0.337 0.051
Br 0.885 0.723 0.550
Br 0.885 0.777 0.050

Na4Y3GaSe8 | PBE | relaxed

Summary:
Calculated density (g/cm³): 4.3
Calculated total energy (eV per atom): -4.91
Size of the total moment (μB/cell): 0.00

a = 8.453 Å, b = 8.453 Å, c = 8.453 Å
α = 57.79°, β = 57.79°, γ = 57.79°
Positions (direct):
Na 0.000 0.000 0.000
Na 0.000 0.500 0.500
Na 0.500 0.000 0.500
Na 0.500 0.500 0.000
Y 0.000 0.000 0.500
Y 0.000 0.500 0.000
Y 0.500 0.000 0.000
Ga 0.500 0.500 0.500
Se 0.244 0.244 0.244
Se 0.258 0.732 0.732
Se 0.268 0.268 0.742
Se 0.268 0.742 0.268
Se 0.732 0.258 0.732
Se 0.732 0.732 0.258
Se 0.742 0.268 0.268
Se 0.756 0.756 0.756